No. 1
# PBE-GGA Ba2TiPdS4, optimized geometry
# Total magnetization, μB per atom: 0.000
# Calculated total energy, eV per atom: -5.68
# Formation energy without anion corrections, meV per atom: -1495.5
data_Ba2TiPdS4
_chemical_formula_sum 'Ba16 Ti8 Pd8 S32'
_cell_length_a 5.542
_cell_length_b 13.175
_cell_length_c 22.539
_cell_angle_alpha 90.00
_cell_angle_beta 90.00
_cell_angle_gamma 90.00
_symmetry_space_group_name_H-M 'F d d d'
_symmetry_Int_Tables_number 70
loop_
_symmetry_equiv_pos_as_xyz
'x,y,z'
'-x,-y,-z'
'-x+1/4,-y+1/4,z'
'x+1/4,y+1/4,-z'
'x,-y+1/4,-z+1/4'
'-x,y+1/4,z+1/4'
'-x+1/4,y,-z+1/4'
'x+1/4,-y,z+1/4'
'x,y+1/2,z+1/2'
'-x,-y+1/2,-z+1/2'
'-x+1/4,-y+3/4,z+1/2'
'x+1/4,y+3/4,-z+1/2'
'x,-y+3/4,-z+3/4'
'-x,y+3/4,z+3/4'
'-x+1/4,y+1/2,-z+3/4'
'x+1/4,-y+1/2,z+3/4'
'x+1/2,y,z+1/2'
'-x+1/2,-y,-z+1/2'
'-x+3/4,-y+1/4,z+1/2'
'x+3/4,y+1/4,-z+1/2'
'x+1/2,-y+1/4,-z+3/4'
'-x+1/2,y+1/4,z+3/4'
'-x+3/4,y,-z+3/4'
'x+3/4,-y,z+3/4'
'x+1/2,y+1/2,z'
'-x+1/2,-y+1/2,-z'
'-x+3/4,-y+3/4,z'
'x+3/4,y+3/4,-z'
'x+1/2,-y+3/4,-z+1/4'
'-x+1/2,y+3/4,z+1/4'
'-x+3/4,y+1/2,-z+1/4'
'x+3/4,-y+1/2,z+1/4'
loop_
_atom_site_label
_atom_site_type_symbol
_atom_site_fract_x
_atom_site_fract_y
_atom_site_fract_z
Ba1 Ba 0.125 0.125 0.303
Ti1 Ti 0.125 0.125 0.625
Pd1 Pd 0.125 0.125 0.125
S1 S 0.107 0.265 0.819

No. 2
# PBE-GGA Ba3UPd2S6, optimized geometry
# Total magnetization, μB per atom: 0.011
# Calculated total energy, eV per atom: -5.63
# Formation energy without anion corrections, meV per atom: -1283.7
data_Ba3UPd2S6
_chemical_formula_sum 'Ba3 U1 Pd2 S6'
_cell_length_a 7.3525
_cell_length_b 7.3525
_cell_length_c 7.8764
_cell_angle_alpha 90.00
_cell_angle_beta 90.00
_cell_angle_gamma 120.00
_symmetry_space_group_name_H-M 'P -3 m 1'
_symmetry_Int_Tables_number 164
_symmetry_space_group_name_Hall '-P 3 2"'
loop_
_atom_site_label
_atom_site_type_symbol
_atom_site_fract_x
_atom_site_fract_y
_atom_site_fract_z
Ba1 Ba 0.0000 0.0000 0.0000
Ba2 Ba 0.3333 0.6667 0.6224
U1 U 0.0000 0.0000 0.5000
Pd1 Pd 0.3333 0.6667 0.2008
S1 S 0.1606 0.3212 0.3029